Compound: BaRh2
Source: Alexandria
Functional: PBE-GGA
Structure: optimized geometry

## Properties
Energy of formation ... 0.039 eV per atom
SG ... C2/m
Magnetic moment ... 0.000 μB/atom

Lattice parameters (Å, degrees): 4.640 4.640 10.120 80.56 80.56 51.48
Atoms (fractional coordinates):
Rh (0.343, 0.343, 0.526)
Rh (0.019, 0.019, 0.624)
Rh (0.981, 0.981, 0.376)
Rh (0.657, 0.657, 0.474)
Ba (0.679, 0.679, 0.798)
Ba (0.321, 0.321, 0.202)